Material: Be2TeAu
Method: DFT, PBE
State: optimized geometry

Calculated values
Raw total energy, eV per atom: -3.27
N(E_F), states/eV per atom: 0.38
Uncorrected formation energy, eV per atom: 0.19

a = 3.7420 Å, b = 3.7420 Å, c = 5.9826 Å
α = 106.17°, β = 106.17°, γ = 58.14°
Last column: nearest neighbours and their distance in Å.
Positions (direct):
1 Be 0.2399 0.2399 0.2148  3 Au 2.44-2.48, 3 Te 2.66-2.69
2 Be 0.7601 0.7601 0.7852  3 Au 2.44-2.48, 3 Te 2.66-2.69
3 Te 0.0000 0.0000 0.5000  6 Be 2.66-2.69
4 Au 0.5000 0.5000 0.0000  6 Be 2.44-2.48


Material: Be2TeAu
Method: DFT, PBE
State: optimized geometry

Calculated values
Raw total energy, eV per atom: -2.93
N(E_F), states/eV per atom: 0.40
Uncorrected formation energy, eV per atom: 0.54

a = 4.3000 Å, b = 4.3000 Å, c = 3.5361 Å
α = 90.00°, β = 90.00°, γ = 90.00°
Last column: nearest neighbours and their distance in Å.
Positions (direct):
1 Be 0.0000 0.5000 0.0000  4 Te 2.78, 4 Au 2.78, 4 Be 3.04
2 Be 0.5000 0.0000 0.0000  4 Te 2.78, 4 Au 2.78, 4 Be 3.04
3 Te 0.0000 0.0000 0.5000  8 Be 2.78, 4 Au 3.04
4 Au 0.5000 0.5000 0.5000  8 Be 2.78, 4 Te 3.04


Material: BeTe2Au
Method: DFT, PBE
State: optimized geometry

Calculated values
Raw total energy, eV per atom: -2.63
N(E_F), states/eV per atom: 0.45
Uncorrected formation energy, eV per atom: 0.69

a = 5.0061 Å, b = 5.0061 Å, c = 5.0061 Å
α = 60.00°, β = 60.00°, γ = 60.00°
Last column: nearest neighbours and their distance in Å.
Positions (direct):
1 Be 0.0000 0.0000 0.0000  4 Au 3.07, 4 Te 3.07
2 Te 0.2500 0.2500 0.2500  4 Be 3.07, 4 Te 3.07
3 Te 0.5000 0.5000 0.5000  4 Au 3.07, 4 Te 3.07
4 Au 0.7500 0.7500 0.7500  4 Be 3.07, 4 Te 3.07


Material: Be2TeAu
Method: DFT, PBE
State: optimized geometry

Calculated values
Raw total energy, eV per atom: -3.26
N(E_F), states/eV per atom: 0.42
Uncorrected formation energy, eV per atom: 0.20

a = 3.4163 Å, b = 3.4163 Å, c = 6.4788 Å
α = 90.00°, β = 90.00°, γ = 90.00°
Last column: nearest neighbours and their distance in Å.
Positions (direct):
1 Be 0.0000 0.0000 0.0000  4 Au 2.50, 1 Te 2.51
2 Be 0.5000 0.5000 0.2550  1 Au 2.28
3 Te 0.0000 0.0000 0.3881  5 Be 2.51-2.56
4 Au 0.5000 0.5000 0.9034  5 Be 2.28-2.50


Material: BeTeAu2
Method: DFT, PBE
State: optimized geometry

Calculated values
Raw total energy, eV per atom: -3.29
N(E_F), states/eV per atom: 0.46
Uncorrected formation energy, eV per atom: 0.06

a = 3.9789 Å, b = 3.9789 Å, c = 6.2674 Å
α = 110.49°, β = 110.49°, γ = 60.58°
Last column: nearest neighbours and their distance in Å.
Positions (direct):
1 Be 0.0000 0.0000 0.0000  6 Au 2.41-2.54
2 Te 0.1609 0.1609 0.4722  1 Be 2.71, 3 Au 2.96
3 Au 0.3832 0.3832 0.1398  3 Be 2.41-2.45
4 Au 0.6058 0.6058 0.8231  3 Be 2.48-2.54


Material: BeTeAu2
Method: DFT, PBE
State: optimized geometry

Calculated values
Raw total energy, eV per atom: -3.11
N(E_F), states/eV per atom: 0.36
Uncorrected formation energy, eV per atom: 0.24

a = 5.7712 Å, b = 5.7640 Å, c = 3.9237 Å
α = 70.21°, β = 70.02°, γ = 39.77°
Last column: nearest neighbours and their distance in Å.
Positions (direct):
1 Be 0.0000 0.0000 0.0000  4 Te 2.77-2.78, 4 Au 2.88
2 Te 0.5000 0.5000 0.5000  4 Be 2.77-2.78, 4 Au 2.88
3 Au 0.0000 0.5000 0.0000  4 Au 2.77-2.78, 2 Be 2.88, 2 Te 2.88
4 Au 0.5000 0.0000 0.5000  4 Au 2.77-2.78, 2 Be 2.88, 2 Te 2.88


Material: BeTe2Au
Method: DFT, PBE
State: optimized geometry

Calculated values
Raw total energy, eV per atom: -3.03
N(E_F), states/eV per atom: 0.61
Uncorrected formation energy, eV per atom: 0.30

a = 4.1313 Å, b = 4.1313 Å, c = 7.6589 Å
α = 90.00°, β = 90.00°, γ = 126.77°
Last column: nearest neighbours and their distance in Å.
Positions (direct):
1 Be 0.0000 0.0000 0.0000  4 Te 2.49
2 Te 0.5000 0.5000 0.2169  2 Be 2.49
3 Te 0.5000 0.5000 0.7831  2 Be 2.49
4 Au 0.0000 0.0000 0.5000  4 Te 2.85


Material: Be2TeAu
Method: DFT, PBE
State: optimized geometry

Calculated values
Raw total energy, eV per atom: -3.10
N(E_F), states/eV per atom: 0.55
Uncorrected formation energy, eV per atom: 0.36

a = 2.9556 Å, b = 3.4801 Å, c = 6.3863 Å
α = 90.00°, β = 90.00°, γ = 90.00°
Last column: nearest neighbours and their distance in Å.
Positions (direct):
1 Be 0.0000 0.0000 0.1773  1 Be 2.26
2 Be 0.0000 0.0000 0.8227  1 Be 2.26
3 Te 0.5000 0.5000 0.5000  2 Te 2.96, 8 Be 3.08, 2 Au 3.19
4 Au 0.5000 0.5000 0.0000  8 Be 2.55


Material: Be2TeAu
Method: DFT, PBE
State: optimized geometry

Calculated values
Raw total energy, eV per atom: -2.90
N(E_F), states/eV per atom: 0.39
Uncorrected formation energy, eV per atom: 0.56

a = 4.7363 Å, b = 4.7363 Å, c = 4.7363 Å
α = 127.46°, β = 127.46°, γ = 77.50°
Last column: nearest neighbours and their distance in Å.
Positions (direct):
1 Be 0.2500 0.7500 0.5000  4 Te 2.79, 4 Au 2.79, 4 Be 2.96
2 Be 0.7500 0.2500 0.5000  4 Te 2.79, 4 Au 2.79, 4 Be 2.96
3 Te 0.0000 0.0000 0.0000  8 Be 2.79, 4 Au 2.96
4 Au 0.5000 0.5000 0.0000  8 Be 2.79, 4 Te 2.96


Material: BeTe3Au
Method: DFT, PBE
State: optimized geometry

Calculated values
Raw total energy, eV per atom: -2.27
N(E_F), states/eV per atom: 1.46
Uncorrected formation energy, eV per atom: 1.02

a = 5.4321 Å, b = 5.4321 Å, c = 5.4321 Å
α = 90.00°, β = 90.00°, γ = 90.00°
Last column: nearest neighbours and their distance in Å.
Positions (direct):
1 Be 0.0000 0.0000 0.0000  12 Te 3.84
2 Te 0.0000 0.5000 0.5000  2 Au 2.72
3 Te 0.5000 0.0000 0.5000  2 Au 2.72
4 Te 0.5000 0.5000 0.0000  2 Au 2.72
5 Au 0.5000 0.5000 0.5000  6 Te 2.72


Material: BeTe2Au
Method: DFT, PBE
State: optimized geometry

Calculated values
Raw total energy, eV per atom: -3.02
N(E_F), states/eV per atom: 0.93
Uncorrected formation energy, eV per atom: 0.30

a = 5.8367 Å, b = 5.8367 Å, c = 5.8367 Å
α = 143.28°, β = 98.12°, γ = 93.27°
Last column: nearest neighbours and their distance in Å.
Positions (direct):
1 Be 0.0000 0.0000 0.0000  4 Te 2.49
2 Te 0.2187 0.5000 0.7187  2 Be 2.49
3 Te 0.7813 0.5000 0.2813  2 Be 2.49
4 Au 0.5000 0.0000 0.5000  4 Te 2.83


Material: BeTe2Au
Method: DFT, PBE
State: optimized geometry

Calculated values
Raw total energy, eV per atom: -3.05
N(E_F), states/eV per atom: 0.51
Uncorrected formation energy, eV per atom: 0.27

a = 5.0113 Å, b = 5.0113 Å, c = 5.0113 Å
α = 113.12°, β = 113.12°, γ = 102.39°
Last column: nearest neighbours and their distance in Å.
Positions (direct):
1 Be 0.0000 0.0000 0.0000  4 Te 2.76
2 Te 0.0000 0.5000 0.5000  2 Be 2.76, 2 Au 2.76
3 Te 0.5000 0.0000 0.5000  2 Be 2.76, 2 Au 2.76
4 Au 0.5000 0.5000 0.0000  4 Te 2.76